No. 1
VASP calculation (PBE) on a geometry-optimized Cd7InAu5 structure.

a = 5.6682 Å, b = 7.5687 Å, c = 7.5687 Å
α = 82.63°, β = 68.01°, γ = 68.01°
With the nearest neighbours (Å) after each atom.
Fractional coordinates of all 13 atoms:
1 Cd 0.6367 0.3633 0.3633  4 Au 3.05, 5 Cd 3.06-3.40
2 Cd 0.3265 0.6735 0.6735  6 Au 2.95-3.01, 1 Cd 3.06, 1 In 3.30
3 Cd 0.9991 0.3398 0.6620  5 Au 2.95-3.01, 4 Cd 3.09-3.23
4 Cd 0.9991 0.6620 0.3398  5 Au 2.95-3.01, 4 Cd 3.09-3.23
5 Cd 0.2670 0.2330 0.2330  4 Au 2.83, 6 Cd 3.01-3.11
6 Cd 0.5089 0.8070 0.1751  5 Au 2.89-2.96, 3 Cd 3.01-3.23
7 Cd 0.5089 0.1751 0.8070  5 Au 2.89-2.96, 3 Cd 3.01-3.23
8 In 0.9919 0.0081 0.0081  10 Cd 3.30-3.60, 4 Au 3.67
9 Au 0.5045 0.0012 0.4902  7 Cd 2.83-3.05, 3 Au 2.83-2.92
10 Au 0.0040 0.0012 0.4902  7 Cd 2.83-3.05, 3 Au 2.83-2.92
11 Au 0.5045 0.4902 0.0012  7 Cd 2.83-3.05, 3 Au 2.83-2.92
12 Au 0.0040 0.4902 0.0012  7 Cd 2.83-3.05, 3 Au 2.83-2.92
13 Au 0.7447 0.7553 0.7553  4 Au 2.92, 6 Cd 2.95-2.98

Computed properties:
The calculated total energy is -26.95 eV per formula unit. As for the space group: Imm2, No. 44. For the formation energy, the calculation gives -10.5 kJ/mol of atoms. The magnetization comes out at 0.000 Bohr magnetons per cell.



No. 2
VASP calculation (PBE) on a geometry-optimized TaCr3Cu2S8 structure.

a = 6.3521 Å, b = 7.2733 Å, c = 12.7104 Å
α = 98.53°, β = 94.43°, γ = 90.20°
With the nearest neighbours (Å) after each atom.
Fractional coordinates of all 28 atoms:
1 Ta 0.1435 0.7067 0.2889  4 S 2.28-2.35
2 Ta 0.3660 0.5613 0.7109  4 S 2.29-2.34
3 Cr 0.8408 0.3087 0.7239  4 S 2.21-2.36
4 Cr 0.7577 0.1180 0.0001  6 S 2.38-2.46
5 Cr 0.2460 0.8815 0.0000  6 S 2.35-2.50
6 Cr 0.6308 0.4439 0.2757  4 S 2.23-2.33
7 Cr 0.6319 0.9511 0.2796  4 S 2.23-2.33
8 Cr 0.3874 0.0673 0.7203  4 S 2.21-2.36
9 Cu 0.8730 0.7953 0.7250  4 S 2.27-2.33
10 Cu 0.1149 0.1871 0.2777  4 S 2.25-2.33
11 Cu 0.7503 0.6187 0.9958  6 S 2.39-2.62
12 Cu 0.2535 0.3600 0.0033  6 S 2.38-2.59
13 S 0.9063 0.3399 0.9000  2 Cr 2.22-2.43, 2 Cu 2.46-2.47
14 S 0.1170 0.6534 0.1068  1 Ta 2.28, 1 Cr 2.47, 1 Cu 2.53
15 S 0.9056 0.8447 0.9060  2 Cu 2.27-2.39, 2 Cr 2.38-2.40
16 S 0.0950 0.1417 0.0969  2 Cu 2.27-2.38, 2 Cr 2.35-2.38
17 S 0.7991 0.2179 0.3468  2 Cr 2.23, 1 Cu 2.25
18 S 0.1892 0.8009 0.6445  1 Ta 2.30, 1 Cu 2.33, 1 Cr 2.35
19 S 0.8081 0.7159 0.3553  2 Cr 2.33, 1 Ta 2.35
20 S 0.1703 0.2886 0.6494  1 Ta 2.34, 2 Cr 2.36
21 S 0.7019 0.0332 0.6568  2 Cr 2.21, 1 Cu 2.29
22 S 0.3169 0.9798 0.3622  1 Ta 2.30, 1 Cu 2.31, 1 Cr 2.33
23 S 0.6894 0.5381 0.6367  1 Cu 2.30, 1 Cr 2.31, 1 Ta 2.32
24 S 0.3076 0.4556 0.3497  1 Ta 2.31, 1 Cr 2.32, 1 Cu 2.33
25 S 0.5923 0.9025 0.0986  3 Cr 2.27-2.44, 1 Cu 2.53
26 S 0.4088 0.0910 0.8994  3 Cr 2.25-2.46, 1 Cu 2.45
27 S 0.6048 0.3970 0.0964  2 Cr 2.25-2.45, 2 Cu 2.42-2.44
28 S 0.3919 0.6003 0.8933  1 Ta 2.29, 1 Cr 2.50, 1 Cu 2.53

Computed properties:
The calculated total energy is -88.79 eV per formula unit. The uncorrected formation energy comes out at -0.4897 eV per atom. As for the space group: P1, No. 1. The magnetization comes out at 17.997 Bohr magnetons per cell.



No. 3
VASP calculation (PBE) on a geometry-optimized KTaSn2 structure.

a = 6.4134 Å, b = 6.4134 Å, c = 9.6810 Å
α = 70.66°, β = 70.66°, γ = 90.00°
With the nearest neighbours (Å) after each atom.
Fractional coordinates of all 8 atoms:
1 K 0.5000 0.5000 0.0000  8 Sn 3.97-4.38
2 K 0.2500 0.7500 0.5000  8 Sn 3.97-4.38
3 Sn 0.8332 0.1250 0.2500  2 Ta 2.69
4 Sn 0.9168 0.6250 0.2500  2 Ta 2.69
5 Sn 0.3750 0.1668 0.7500  2 Ta 2.69
6 Sn 0.8750 0.0832 0.7500  2 Ta 2.69
7 Ta 0.0000 0.0000 0.0000  4 Sn 2.69
8 Ta 0.7500 0.2500 0.5000  4 Sn 2.69

Computed properties:
The calculated total energy is -18.70 eV per formula unit. As for the space group: I-42d, No. 122. For the formation energy, the calculation gives 54.3 kJ/mol of atoms. The magnetization comes out at 0.000 Bohr magnetons per cell.



No. 4
VASP calculation (PBE) on a geometry-optimized Ce2SbPb structure.

a = 4.5197 Å, b = 4.5209 Å, c = 7.8460 Å
α = 106.74°, β = 90.00°, γ = 119.99°
With the nearest neighbours (Å) after each atom.
Fractional coordinates of all 4 atoms:
1 Ce 0.2513 0.5026 0.2539  3 Sb 3.18, 3 Pb 3.22
2 Ce 0.7487 0.4974 0.7461  3 Sb 3.18, 3 Pb 3.22
3 Sb 0.0000 0.0000 0.5000  6 Ce 3.18
4 Pb 0.5000 0.0000 0.0000  6 Ce 3.22

Computed properties:
The calculated total energy is -22.36 eV per formula unit. The uncorrected formation energy comes out at -0.6658 eV per atom. As for the space group: R-3m, No. 166. The magnetization comes out at 1.027 Bohr magnetons per cell.



No. 5
VASP calculation (PBE) on a geometry-optimized K6NpI12 structure.

a = 9.9563 Å, b = 9.9563 Å, c = 9.9563 Å
α = 97.21°, β = 97.21°, γ = 97.21°
With the nearest neighbours (Å) after each atom.
Fractional coordinates of all 19 atoms:
1 K 0.1530 0.2887 0.6310  7 I 3.54-3.82
2 K 0.7113 0.3690 0.8470  7 I 3.54-3.82
3 K 0.3690 0.8470 0.7113  7 I 3.54-3.82
4 K 0.8470 0.7113 0.3690  7 I 3.54-3.82
5 K 0.2887 0.6310 0.1530  7 I 3.54-3.82
6 K 0.6310 0.1530 0.2887  7 I 3.54-3.82
7 Np 0.0000 0.0000 0.0000  6 I 3.01
8 I 0.4641 0.1630 0.5828  4 K 3.54-3.61, 1 I 3.65
9 I 0.1630 0.5828 0.4641  4 K 3.54-3.61, 1 I 3.65
10 I 0.5828 0.4641 0.1630  4 K 3.54-3.61, 1 I 3.65
11 I 0.5359 0.8370 0.4172  4 K 3.54-3.61, 1 I 3.65
12 I 0.8370 0.4172 0.5359  4 K 3.54-3.61, 1 I 3.65
13 I 0.4172 0.5359 0.8370  4 K 3.54-3.61, 1 I 3.65
14 I 0.0148 0.9425 0.6985  1 Np 3.01
15 I 0.3015 0.9852 0.0575  1 Np 3.01
16 I 0.0575 0.3015 0.9852  1 Np 3.01
17 I 0.9852 0.0575 0.3015  1 Np 3.01
18 I 0.6985 0.0148 0.9425  1 Np 3.01
19 I 0.9425 0.6985 0.0148  1 Np 3.01

Computed properties:
The calculated total energy is -58.36 eV per formula unit. The uncorrected formation energy comes out at -1.0647 eV per atom. As for the space group: R-3, No. 148. The magnetization comes out at 5.072 Bohr magnetons per cell.



No. 6
VASP calculation (PBE) on a geometry-optimized Pm6Y2Er3Th structure.

a = 6.2341 Å, b = 6.2341 Å, c = 11.8974 Å
α = 95.02°, β = 95.02°, γ = 119.97°
With the nearest neighbours (Å) after each atom.
Fractional coordinates of all 12 atoms:
1 Pm 0.9161 0.5865 0.7487  6 Pm 3.56-3.62, 3 Er 3.57-3.59, 1 Th 3.59, 2 Y 3.61
2 Pm 0.7546 0.7546 0.2509  6 Pm 3.56-3.62, 3 Er 3.58-3.60, 1 Th 3.58, 2 Y 3.61
3 Pm 0.0839 0.4135 0.2513  6 Pm 3.56-3.62, 3 Er 3.57-3.59, 1 Th 3.59, 2 Y 3.61
4 Pm 0.5865 0.9161 0.7487  6 Pm 3.56-3.62, 3 Er 3.57-3.59, 1 Th 3.59, 2 Y 3.61
5 Pm 0.2454 0.2454 0.7491  6 Pm 3.56-3.62, 3 Er 3.58-3.60, 1 Th 3.58, 2 Y 3.61
6 Pm 0.4135 0.0839 0.2513  6 Pm 3.56-3.62, 3 Er 3.57-3.59, 1 Th 3.59, 2 Y 3.61
7 Y 0.3333 0.6667 0.0000  3 Th 3.60, 3 Y 3.60, 6 Pm 3.61
8 Y 0.6667 0.3333 0.0000  3 Th 3.60, 3 Y 3.60, 6 Pm 3.61
9 Er 0.1669 0.8331 0.5000  6 Pm 3.57-3.59, 6 Er 3.60
10 Er 0.8331 0.1669 0.5000  6 Pm 3.57-3.59, 6 Er 3.60
11 Er 0.5000 0.5000 0.5000  6 Pm 3.57-3.60, 6 Er 3.60
12 Th 0.0000 0.0000 0.0000  6 Pm 3.58-3.59, 6 Y 3.60

Computed properties:
The calculated total energy is -62.15 eV per formula unit. As for the space group: C2/m, No. 12. For the formation energy, the calculation gives 3.1 kJ/mol of atoms. The magnetization comes out at 0.000 Bohr magnetons per cell.



No. 7
VASP calculation (PBE) on a geometry-optimized MnNiS3 structure.

a = 3.2030 Å, b = 5.5379 Å, c = 9.7376 Å
α = 110.90°, β = 90.00°, γ = 90.00°
With the nearest neighbours (Å) after each atom.
Fractional coordinates of all 10 atoms:
1 Mn 0.2500 0.2292 0.5481  6 S 2.21-2.39
2 Mn 0.7500 0.7708 0.4519  6 S 2.21-2.39
3 Ni 0.2500 0.1144 0.1549  5 S 2.19-2.35
4 Ni 0.7500 0.8856 0.8451  5 S 2.19-2.35
5 S 0.7500 0.0865 0.6689  3 Mn 2.21-2.29, 1 Ni 2.35
6 S 0.7500 0.5546 0.6254  1 Ni 2.27, 3 Mn 2.33-2.39
7 S 0.2500 0.9135 0.3311  3 Mn 2.21-2.29, 1 Ni 2.35
8 S 0.2500 0.4454 0.3746  1 Ni 2.27, 3 Mn 2.33-2.39
9 S 0.2500 0.7569 0.9568  3 Ni 2.19-2.22
10 S 0.7500 0.2431 0.0432  3 Ni 2.19-2.22

Computed properties:
The calculated total energy is -28.70 eV per formula unit. The uncorrected formation energy comes out at -0.2737 eV per atom. As for the space group: P2_1/m, No. 11. The magnetization comes out at 1.931 Bohr magnetons per cell.



No. 8
VASP calculation (PBE) on a geometry-optimized Zn6NiAu12 structure.

a = 7.4068 Å, b = 7.4068 Å, c = 7.4068 Å
α = 107.84°, β = 107.84°, γ = 107.84°
With the nearest neighbours (Å) after each atom.
Fractional coordinates of all 19 atoms:
1 Zn 0.7663 0.8939 0.6136  1 Ni 2.56, 5 Au 2.62-2.86
2 Zn 0.3864 0.2337 0.1061  1 Ni 2.56, 5 Au 2.62-2.86
3 Zn 0.1061 0.3864 0.2337  1 Ni 2.56, 5 Au 2.62-2.86
4 Zn 0.2337 0.1061 0.3864  1 Ni 2.56, 5 Au 2.62-2.86
5 Zn 0.6136 0.7663 0.8939  1 Ni 2.56, 5 Au 2.62-2.86
6 Zn 0.8939 0.6136 0.7663  1 Ni 2.56, 5 Au 2.62-2.86
7 Ni 0.0000 0.0000 0.0000  6 Zn 2.56, 6 Au 2.81
8 Au 0.7980 0.4677 0.3593  3 Zn 2.64-2.87, 4 Au 2.77-2.87
9 Au 0.3593 0.7980 0.4677  3 Zn 2.64-2.87, 4 Au 2.77-2.87
10 Au 0.4677 0.3593 0.7980  3 Zn 2.64-2.87, 4 Au 2.77-2.87
11 Au 0.2020 0.5323 0.6407  3 Zn 2.64-2.87, 4 Au 2.77-2.87
12 Au 0.6407 0.2020 0.5323  3 Zn 2.64-2.87, 4 Au 2.77-2.87
13 Au 0.5323 0.6407 0.2020  3 Zn 2.64-2.87, 4 Au 2.77-2.87
14 Au 0.9310 0.6901 0.1486  3 Zn 2.62-2.86, 1 Au 2.77, 1 Ni 2.81
15 Au 0.3099 0.8514 0.0690  3 Zn 2.62-2.86, 1 Au 2.77, 1 Ni 2.81
16 Au 0.8514 0.0690 0.3099  3 Zn 2.62-2.86, 1 Au 2.77, 1 Ni 2.81
17 Au 0.0690 0.3099 0.8514  3 Zn 2.62-2.86, 1 Au 2.77, 1 Ni 2.81
18 Au 0.6901 0.1486 0.9310  3 Zn 2.62-2.86, 1 Au 2.77, 1 Ni 2.81
19 Au 0.1486 0.9310 0.6901  3 Zn 2.62-2.86, 1 Au 2.77, 1 Ni 2.81

Computed properties:
The calculated total energy is -54.82 eV per formula unit. As for the space group: R-3, No. 148. For the formation energy, the calculation gives -10.5 kJ/mol of atoms. The magnetization comes out at 0.000 Bohr magnetons per cell.



What did the third record say?
VASP calculation (PBE) on a geometry-optimized KTaSn2 structure.

a = 6.4134 Å, b = 6.4134 Å, c = 9.6810 Å
α = 70.66°, β = 70.66°, γ = 90.00°
With the nearest neighbours (Å) after each atom.
Fractional coordinates of all 8 atoms:
1 K 0.5000 0.5000 0.0000  8 Sn 3.97-4.38
2 K 0.2500 0.7500 0.5000  8 Sn 3.97-4.38
3 Sn 0.8332 0.1250 0.2500  2 Ta 2.69
4 Sn 0.9168 0.6250 0.2500  2 Ta 2.69
5 Sn 0.3750 0.1668 0.7500  2 Ta 2.69
6 Sn 0.8750 0.0832 0.7500  2 Ta 2.69
7 Ta 0.0000 0.0000 0.0000  4 Sn 2.69
8 Ta 0.7500 0.2500 0.5000  4 Sn 2.69

Computed properties:
The calculated total energy is -18.70 eV per formula unit. As for the space group: I-42d, No. 122. For the formation energy, the calculation gives 54.3 kJ/mol of atoms. The magnetization comes out at 0.000 Bohr magnetons per cell.